Computed, not measured: crystalline BaYTeAuSe2 at its relaxed geometry at the PBE level of DFT.

Cell: 7.8163 7.8163 11.0677 Å, 90.00 90.00 148.58°
Element x y z (fractional)
Ba 0.2244 0.7756 0.7500
Ba 0.7756 0.2244 0.2500
Y 0.0000 0.0000 0.0000
Y 0.0000 0.0000 0.5000
Te 0.0921 0.9079 0.2500
Te 0.9079 0.0921 0.7500
Au 0.4705 0.5295 0.2500
Au 0.5295 0.4705 0.7500
Se 0.3708 0.6292 0.0541
Se 0.3708 0.6292 0.4459
Se 0.6292 0.3708 0.5541
Se 0.6292 0.3708 0.9459

Total energy   -5.0276 eV per atom